Entry one
VASP calculation (GGA-PBE) on crystalline KRhSeN2 at its relaxed geometry.

Unit cell a=4.656 b=4.656 c=6.289 alpha=90.00 beta=90.00 gamma=90.00
Sites, in units of the cell vectors:
K  0.000  0.000  0.000
Rh  0.500  0.500  0.500
Se  0.000  0.000  0.500
N  0.000  0.500  0.000
N  0.500  0.000  0.000



Entry two
VASP calculation (GGA-PBE) on crystalline KRhSeN2 at its relaxed geometry.

Unit cell a=3.999 b=3.999 c=5.393 alpha=90.00 beta=90.00 gamma=90.00
Sites, in units of the cell vectors:
K  0.000  0.000  0.000
Rh  0.500  0.500  0.500
Se  0.500  0.500  0.000
N  0.000  0.500  0.500
N  0.500  0.000  0.500



Computed energies relative to the best structure, in meV per atom: entry one 1761; entry two 0



Entry one
VASP calculation (GGA-PBE) on crystalline KTeRhN2 at its relaxed geometry.

Unit cell a=4.617 b=4.617 c=6.863 alpha=90.00 beta=90.00 gamma=90.00
Sites, in units of the cell vectors:
K  0.000  0.000  0.000
Te  0.000  0.000  0.500
Rh  0.500  0.500  0.500
N  0.000  0.500  0.000
N  0.500  0.000  0.000



Entry two
VASP calculation (GGA-PBE) on crystalline KTeRhN2 at its relaxed geometry.

Unit cell a=4.110 b=4.110 c=5.635 alpha=90.00 beta=90.00 gamma=90.00
Sites, in units of the cell vectors:
K  0.000  0.000  0.000
Te  0.500  0.500  0.000
Rh  0.500  0.500  0.500
N  0.000  0.500  0.500
N  0.500  0.000  0.500



Computed energies relative to the best structure, in meV per atom: entry one 1438; entry two 0



Entry one
VASP calculation (GGA-PBE) on crystalline KRuN at its relaxed geometry.

Unit cell a=3.689 b=3.689 c=9.948 alpha=90.00 beta=90.00 gamma=90.00
Sites, in units of the cell vectors:
K  0.250  0.250  0.217
K  0.750  0.750  0.783
Ru  0.250  0.750  0.500
Ru  0.750  0.250  0.500
N  0.250  0.250  0.602
N  0.750  0.750  0.398



Entry two
VASP calculation (GGA-PBE) on crystalline KRuN at its relaxed geometry.

Unit cell a=5.681 b=3.293 c=5.919 alpha=90.00 beta=108.63 gamma=90.00
Sites, in units of the cell vectors:
K  0.000  0.000  0.000
K  0.500  0.500  0.000
Ru  0.495  0.000  0.486
Ru  0.995  0.500  0.486
N  0.304  0.500  0.410
N  0.804  0.000  0.410



Entry three
VASP calculation (GGA-PBE) on crystalline KRuN at its relaxed geometry.

Unit cell a=3.511 b=3.511 c=10.425 alpha=90.00 beta=90.00 gamma=90.00
Sites, in units of the cell vectors:
K  0.000  0.000  0.000
K  0.000  0.000  0.500
Ru  0.500  0.500  0.254
Ru  0.500  0.500  0.754
N  0.000  0.500  0.210
N  0.500  0.000  0.710



Entry four
VASP calculation (GGA-PBE) on crystalline KRuN at its relaxed geometry.

Unit cell a=3.291 b=3.291 c=5.675 alpha=90.00 beta=90.00 gamma=120.00
Sites, in units of the cell vectors:
K  0.000  0.000  0.000
Ru  0.333  0.667  0.476
N  0.667  0.333  0.402



Computed energies relative to the best structure, in meV per atom: entry one 37; entry two 0; entry three 251; entry four 26



Entry one
VASP calculation (GGA-PBE) on crystalline KRu2N2 at its relaxed geometry.

Unit cell a=7.500 b=7.500 c=2.694 alpha=90.00 beta=90.00 gamma=90.00
Sites, in units of the cell vectors:
K  0.000  0.000  0.000
K  0.500  0.500  0.000
Ru  0.113  0.387  0.000
Ru  0.387  0.887  0.000
Ru  0.613  0.113  0.000
Ru  0.887  0.613  0.000
N  0.112  0.612  0.500
N  0.388  0.112  0.500
N  0.612  0.888  0.500
N  0.888  0.388  0.500



Entry two
VASP calculation (GGA-PBE) on crystalline KRu2N2 at its relaxed geometry.

Unit cell a=4.020 b=4.020 c=12.145 alpha=90.00 beta=90.00 gamma=90.00
Sites, in units of the cell vectors:
K  0.000  0.000  0.000
K  0.500  0.500  0.500
Ru  0.000  0.000  0.256
Ru  0.000  0.000  0.744
Ru  0.500  0.500  0.244
Ru  0.500  0.500  0.756
N  0.000  0.500  0.250
N  0.000  0.500  0.750
N  0.500  0.000  0.250
N  0.500  0.000  0.750



Computed energies relative to the best structure, in meV per atom: entry one 788; entry two 0



Entry one
VASP calculation (GGA-PBE) on crystalline KRu3N at its relaxed geometry.

Unit cell a=4.195 b=4.195 c=4.195 alpha=90.00 beta=90.00 gamma=90.00
Sites, in units of the cell vectors:
K  0.000  0.000  0.000
Ru  0.000  0.500  0.500
Ru  0.500  0.000  0.500
Ru  0.500  0.500  0.000
N  0.500  0.500  0.500



Entry two
VASP calculation (GGA-PBE) on crystalline KRu3N at its relaxed geometry.

Unit cell a=4.751 b=4.751 c=4.751 alpha=90.00 beta=90.00 gamma=90.00
Sites, in units of the cell vectors:
K  0.000  0.000  0.000
Ru  0.000  0.000  0.500
Ru  0.000  0.500  0.000
Ru  0.500  0.000  0.000
N  0.500  0.500  0.500



Computed energies relative to the best structure, in meV per atom: entry one 0; entry two 3104



Entry one
VASP calculation (GGA-PBE) on crystalline KRuS2N at its relaxed geometry.

Unit cell a=5.214 b=5.214 c=4.457 alpha=90.00 beta=90.00 gamma=90.00
Sites, in units of the cell vectors:
K  0.000  0.000  0.000
Ru  0.500  0.500  0.500
S  0.000  0.500  0.000
S  0.500  0.000  0.000
N  0.000  0.000  0.500



Entry two
VASP calculation (GGA-PBE) on crystalline KRuS2N at its relaxed geometry.

Unit cell a=5.010 b=5.010 c=3.727 alpha=90.00 beta=90.00 gamma=90.00
Sites, in units of the cell vectors:
K  0.000  0.000  0.000
Ru  0.500  0.500  0.500
S  0.000  0.500  0.500
S  0.500  0.000  0.500
N  0.500  0.500  0.000



Computed energies relative to the best structure, in meV per atom: entry one 2648; entry two 0



Entry one
VASP calculation (GGA-PBE) on crystalline KRuSe2N at its relaxed geometry.

Unit cell a=5.691 b=5.691 c=4.716 alpha=90.00 beta=90.00 gamma=90.00
Sites, in units of the cell vectors:
K  0.000  0.000  0.000
Ru  0.500  0.500  0.500
Se  0.000  0.500  0.000
Se  0.500  0.000  0.000
N  0.000  0.000  0.500



Entry two
VASP calculation (GGA-PBE) on crystalline KRuSe2N at its relaxed geometry.

Unit cell a=5.335 b=5.335 c=3.700 alpha=90.00 beta=90.00 gamma=90.00
Sites, in units of the cell vectors:
K  0.000  0.000  0.000
Ru  0.500  0.500  0.500
Se  0.000  0.500  0.500
Se  0.500  0.000  0.500
N  0.500  0.500  0.000



Computed energies relative to the best structure, in meV per atom: entry one 2185; entry two 0



Entry one
VASP calculation (GGA-PBE) on crystalline KTeRuN2 at its relaxed geometry.

Unit cell a=4.057 b=4.057 c=5.654 alpha=90.00 beta=90.00 gamma=90.00
Sites, in units of the cell vectors:
K  0.000  0.000  0.000
Te  0.500  0.500  0.000
Ru  0.500  0.500  0.500
N  0.000  0.500  0.500
N  0.500  0.000  0.500



Entry two
VASP calculation (GGA-PBE) on crystalline KTeRuN2 at its relaxed geometry.

Unit cell a=4.637 b=4.637 c=6.906 alpha=90.00 beta=90.00 gamma=90.00
Sites, in units of the cell vectors:
K  0.000  0.000  0.000
Te  0.000  0.000  0.500
Ru  0.500  0.500  0.500
N  0.000  0.500  0.000
N  0.500  0.000  0.000



Computed energies relative to the best structure, in meV per atom: entry one 0; entry two 1827